The following is a PBE calculation of an optimized crystal structure of TaCrNi2, from Alexandria.

DOS at the Fermi energy (states/eV per cell): 5.09
Crystal system: monoclinic
Energy relative to the elements (meV per atom): -9.3
Size of the total moment (μB per formula unit): 0.42

Cell lengths 4.2189, 2.6225, 4.6576 Å; angles 86.90, 90.00, 90.00 degrees
Last column: nearest neighbours and their distance in Å.
Positions (direct):
Ta (0.0000, 0.5745, 0.4585)  8 Ni 2.57-2.79, 2 Ta 2.62, 2 Cr 2.70
Ni (0.0000, 0.1136, 0.9588)  4 Cr 2.50-2.66, 4 Ni 2.57-2.62, 4 Ta 2.57-2.79
Ni (0.5000, 0.1260, 0.2717)  3 Cr 2.49-2.71, 4 Ni 2.57-2.62, 4 Ta 2.59-2.68
Cr (0.5000, 0.6859, 0.8109)  7 Ni 2.49-2.71, 2 Cr 2.62, 2 Ta 2.70

The following is a PBE calculation of an optimized crystal structure of Er4Sn2Hg5, from Alexandria.

DOS at the Fermi energy (states/eV per cell): 5.78
Crystal system: monoclinic
Energy relative to the elements (meV per atom): -389.2
Size of the total moment (μB per formula unit): 0.00

Cell lengths 3.5580, 8.1267, 9.7937 Å; angles 96.22, 90.00, 90.00 degrees
Last column: nearest neighbours and their distance in Å.
Positions (direct):
Er (0.5000, 0.8064, 0.1097)  2 Sn 3.10, 6 Hg 3.11-3.34
Er (0.5000, 0.1936, 0.8903)  2 Sn 3.10, 6 Hg 3.11-3.34
Er (0.5000, 0.2634, 0.4241)  6 Hg 3.13-3.38, 4 Sn 3.21-3.34
Er (0.5000, 0.7366, 0.5759)  6 Hg 3.13-3.38, 4 Sn 3.21-3.34
Hg (0.0000, 0.5372, 0.3150)  1 Sn 3.06, 2 Hg 3.07-3.35, 4 Er 3.13-3.38
Hg (0.0000, 0.1563, 0.1462)  1 Sn 3.03, 6 Er 3.11-3.34, 2 Hg 3.27-3.35
Hg (0.0000, 0.5000, 0.0000)  4 Hg 3.07-3.27, 4 Er 3.15
Hg (0.0000, 0.8437, 0.8538)  1 Sn 3.03, 6 Er 3.11-3.34, 2 Hg 3.27-3.35
Hg (0.0000, 0.4628, 0.6850)  1 Sn 3.06, 2 Hg 3.07-3.35, 4 Er 3.13-3.38
Sn (0.0000, 0.0842, 0.6376)  1 Sn 2.89, 2 Hg 3.03-3.06, 4 Er 3.10-3.21
Sn (0.0000, 0.9158, 0.3624)  1 Sn 2.89, 2 Hg 3.03-3.06, 4 Er 3.10-3.21

The following is a PBE calculation of an optimized crystal structure of Na12Cd7In, from Alexandria.

DOS at the Fermi energy (states/eV per cell): 7.02
Crystal system: trigonal
Energy relative to the elements (meV per atom): -67.6
Size of the total moment (μB per formula unit): 0.00

Cell lengths 8.9261, 8.9261, 8.9261 Å; angles 108.04, 108.04, 108.04 degrees
Last column: nearest neighbours and their distance in Å.
Positions (direct):
Na (0.8222, 0.5337, 0.3662)  3 Cd 3.12-3.41, 2 Na 3.31-3.43
Na (0.6918, 0.1470, 0.0113)  3 Cd 3.12-3.39, 2 Na 3.31-3.43, 1 In 3.41
Na (0.0113, 0.6918, 0.1470)  3 Cd 3.12-3.39, 2 Na 3.31-3.43, 1 In 3.41
Na (0.4663, 0.6338, 0.1778)  3 Cd 3.12-3.41, 2 Na 3.31-3.43
Na (0.1470, 0.0113, 0.6918)  3 Cd 3.12-3.39, 2 Na 3.31-3.43, 1 In 3.41
Na (0.6338, 0.1778, 0.4663)  3 Cd 3.12-3.41, 2 Na 3.31-3.43
Na (0.5337, 0.3662, 0.8222)  3 Cd 3.12-3.41, 2 Na 3.31-3.43
Na (0.3662, 0.8222, 0.5337)  3 Cd 3.12-3.41, 2 Na 3.31-3.43
Na (0.9887, 0.3082, 0.8530)  3 Cd 3.12-3.39, 2 Na 3.31-3.43, 1 In 3.41
Na (0.8530, 0.9887, 0.3082)  3 Cd 3.12-3.39, 2 Na 3.31-3.43, 1 In 3.41
Na (0.1778, 0.4663, 0.6338)  3 Cd 3.12-3.41, 2 Na 3.31-3.43
Na (0.3082, 0.8530, 0.9887)  3 Cd 3.12-3.39, 2 Na 3.31-3.43, 1 In 3.41
Cd (0.1200, 0.3928, 0.2501)  3 Cd 3.06-3.41, 5 Na 3.12-3.39, 1 In 3.13
Cd (0.7499, 0.8800, 0.6072)  3 Cd 3.06-3.41, 5 Na 3.12-3.39, 1 In 3.13
Cd (0.2501, 0.1200, 0.3928)  3 Cd 3.06-3.41, 5 Na 3.12-3.39, 1 In 3.13
Cd (0.5000, 0.5000, 0.5000)  6 Cd 3.06, 6 Na 3.41
Cd (0.8800, 0.6072, 0.7499)  3 Cd 3.06-3.41, 5 Na 3.12-3.39, 1 In 3.13
Cd (0.3928, 0.2501, 0.1200)  3 Cd 3.06-3.41, 5 Na 3.12-3.39, 1 In 3.13
Cd (0.6072, 0.7499, 0.8800)  3 Cd 3.06-3.41, 5 Na 3.12-3.39, 1 In 3.13
In (0.0000, 0.0000, 0.0000)  6 Cd 3.13, 6 Na 3.41